# TiCdMo | Alexandria | PBE | optimized geometry
data_TiCdMo
_space_group_name_H-M_alt 'P 4/n m m'
_space_group_IT_number 129
_cell_length_a 3.155
_cell_length_b 3.155
_cell_length_c 10.886
_cell_angle_alpha 90.00
_cell_angle_beta 90.00
_cell_angle_gamma 90.00
loop_
_space_group_symop_operation_xyz
'x,y,z'
'-x,-y,-z'
'-y+1/2,x,z'
'y+1/2,-x,-z'
'-x+1/2,-y+1/2,z'
'x+1/2,y+1/2,-z'
'y,-x+1/2,z'
'-y,x+1/2,-z'
'x+1/2,-y,-z'
'-x+1/2,y,z'
'-y,-x,-z'
'y,x,z'
'-x,y+1/2,-z'
'x,-y+1/2,z'
'y+1/2,x+1/2,-z'
'-y+1/2,-x+1/2,z'
loop_
_atom_site_label
_atom_site_type_symbol
_atom_site_fract_x
_atom_site_fract_y
_atom_site_fract_z
Ti1 Ti 0.250 0.250 0.216
Cd1 Cd 0.250 0.250 0.598
Mo1 Mo 0.250 0.250 0.930
# Formation enthalpy at 0 K   -53 meV/atom
# D(E_F)   2.1 states/eV/f.u.
# Energy above the lowest structure with this stoichiometry   0.00 eV per formula unit
# V   18.06 Å³/atom
# Magnetic moment   0.000 μB/atom
# E_tot   -6.600 eV per atom